This record from Alexandria via LeMat-Bulk describes a relaxed structure of Na2NdPCO7. The functional is PBE-GGA.

Unit cell a=7.1203 b=5.1717 c=9.5779 alpha=90.31 beta=90.00 gamma=90.00
Element x y z (fractional)
Na (0.4886, 0.2479, 0.8016)
Na (0.0114, 0.2479, 0.8016)
Na (0.5114, 0.7521, 0.1984)
Na (0.9886, 0.7521, 0.1984)
Nd (0.7500, 0.7785, 0.6063)
Nd (0.2500, 0.2215, 0.3937)
P (0.2500, 0.7107, 0.5942)
P (0.7500, 0.2893, 0.4058)
C (0.7500, 0.7567, 0.9060)
C (0.2500, 0.2433, 0.0940)
O (0.2500, 0.2659, 0.9627)
O (0.7500, 0.9800, 0.8419)
O (0.7500, 0.5523, 0.8215)
O (0.0727, 0.8526, 0.6478)
O (0.4274, 0.8526, 0.6478)
O (0.7500, 0.2790, 0.5706)
O (0.2500, 0.4187, 0.6315)
O (0.7500, 0.5813, 0.3685)
O (0.2500, 0.7210, 0.4294)
O (0.5726, 0.1474, 0.3522)
O (0.9274, 0.1474, 0.3522)
O (0.2500, 0.4477, 0.1785)
O (0.2500, 0.0200, 0.1581)
O (0.7500, 0.7341, 0.0373)

## Properties
Uncorrected formation energy ... -225 kJ/mol of atoms



This record from Alexandria via LeMat-Bulk describes a relaxed structure of AcNpS2N. The functional is PBE-GGA.

Unit cell a=3.9867 b=3.9867 c=14.7440 alpha=90.00 beta=90.00 gamma=90.00
Element x y z (fractional)
Ac (0.5000, 0.0000, 0.1347)
Ac (0.0000, 0.5000, 0.8653)
Np (0.5000, 0.0000, 0.5739)
Np (0.0000, 0.5000, 0.4261)
S (0.0000, 0.5000, 0.6731)
S (0.0000, 0.5000, 0.0853)
S (0.5000, 0.0000, 0.9147)
S (0.5000, 0.0000, 0.3269)
N (0.0000, 0.0000, 0.5000)
N (0.5000, 0.5000, 0.5000)

## Properties
Uncorrected formation energy ... -152 kJ/mol of atoms



This record from Alexandria via LeMat-Bulk describes a relaxed structure of CaHo2ZnHg4. The functional is PBE-GGA.

Unit cell a=5.1245 b=5.1245 c=8.9803 alpha=73.42 beta=73.42 gamma=60.00
Element x y z (fractional)
Ca (0.0000, 0.0000, 0.0000)
Ho (0.7564, 0.7564, 0.7309)
Ho (0.2436, 0.2436, 0.2691)
Zn (0.5000, 0.5000, 0.5000)
Hg (0.3743, 0.3743, 0.8771)
Hg (0.8763, 0.8763, 0.3711)
Hg (0.1237, 0.1237, 0.6289)
Hg (0.6257, 0.6257, 0.1229)

## Properties
Energy relative to the elements ... -0.387 eV per atom



This record from Alexandria via LeMat-Bulk describes a relaxed structure of In3FeBi. The functional is PBE-GGA.

Unit cell a=5.1148 b=5.1148 c=5.1148 alpha=90.00 beta=90.00 gamma=90.00
Element x y z (fractional)
Fe (0.0000, 0.0000, 0.0000)
Bi (0.5000, 0.5000, 0.5000)
In (0.0000, 0.5000, 0.0000)
In (0.0000, 0.0000, 0.5000)
In (0.5000, 0.0000, 0.0000)

## Properties
Energy relative to the elements ... 0.301 eV per atom



This record from Alexandria via LeMat-Bulk describes a relaxed structure of Ba2ReHg. The functional is PBE-GGA.

Unit cell a=4.8261 b=4.9118 c=6.4322 alpha=67.56 beta=90.00 gamma=90.00
Element x y z (fractional)
Re (0.5000, 0.5736, 0.7281)
Hg (0.0000, 0.6791, 0.5166)
Ba (0.0000, 0.9785, 0.9179)
Ba (0.5000, 0.2688, 0.3374)

## Properties
Energy relative to the elements ... 0.582 eV per atom



This record from Alexandria via LeMat-Bulk describes a relaxed structure of BPtC3. The functional is PBE-GGA.

Unit cell a=3.5256 b=3.5256 c=3.5256 alpha=90.00 beta=90.00 gamma=90.00
Element x y z (fractional)
C (0.0000, 0.5000, 0.0000)
C (0.0000, 0.0000, 0.5000)
C (0.5000, 0.0000, 0.0000)
B (0.0000, 0.0000, 0.0000)
Pt (0.5000, 0.5000, 0.5000)

## Properties
Energy relative to the elements ... 2.350 eV per atom